one.
{"formula": "CsRbZrTe3", "functional": "GGA-PBE", "state": "relaxed", "vol_a3_per_atom": 44.02, "lattice": [[17.965, 0.000, 0.000], [0.000, 4.420, 0.000], [0.000, 0.000, 13.306]], "species": ["Cs", "Cs", "Cs", "Cs", "Rb", "Rb", "Rb", "Rb", "Zr", "Zr", "Zr", "Zr", "Te", "Te", "Te", "Te", "Te", "Te", "Te", "Te", "Te", "Te", "Te", "Te"], "frac_coords": [[0.195, 0.250, 0.213], [0.305, 0.750, 0.713], [0.695, 0.250, 0.287], [0.805, 0.750, 0.787], [0.116, 0.250, 0.561], [0.384, 0.750, 0.061], [0.616, 0.250, 0.939], [0.884, 0.750, 0.439], [0.050, 0.750, 0.860], [0.450, 0.250, 0.360], [0.550, 0.750, 0.640], [0.950, 0.250, 0.140], [0.011, 0.250, 0.332], [0.058, 0.750, 0.084], [0.161, 0.250, 0.848], [0.339, 0.750, 0.348], [0.442, 0.250, 0.584], [0.489, 0.750, 0.832], [0.511, 0.250, 0.168], [0.558, 0.750, 0.416], [0.661, 0.250, 0.652], [0.839, 0.750, 0.152], [0.942, 0.250, 0.916], [0.989, 0.750, 0.668]]}

***

two.
{"formula": "CsRbZrTe3", "functional": "GGA-PBE", "state": "relaxed", "vol_a3_per_atom": 39.98, "lattice": [[9.207, 0.000, 0.000], [0.000, 4.376, 0.000], [-1.392, 0.000, 11.908]], "species": ["Cs", "Cs", "Rb", "Rb", "Zr", "Zr", "Te", "Te", "Te", "Te", "Te", "Te"], "frac_coords": [[0.084, 0.250, 0.142], [0.916, 0.750, 0.858], [0.252, 0.750, 0.480], [0.748, 0.250, 0.520], [0.404, 0.250, 0.828], [0.596, 0.750, 0.172], [0.138, 0.250, 0.695], [0.327, 0.750, 0.983], [0.457, 0.250, 0.289], [0.543, 0.750, 0.711], [0.673, 0.250, 0.017], [0.862, 0.750, 0.305]]}

***

three.
{"formula": "CsRbZrTe3", "functional": "GGA-PBE", "state": "relaxed", "vol_a3_per_atom": 47.41, "lattice": [[2.150, -10.215, 0.000], [2.150, 10.215, 0.000], [0.000, 0.000, 12.950]], "species": ["Cs", "Cs", "Rb", "Rb", "Zr", "Zr", "Te", "Te", "Te", "Te", "Te", "Te"], "frac_coords": [[0.157, 0.843, 0.750], [0.843, 0.157, 0.250], [0.126, 0.874, 0.250], [0.874, 0.126, 0.750], [0.500, 0.500, 0.000], [0.500, 0.500, 0.500], [0.097, 0.903, 0.000], [0.097, 0.903, 0.500], [0.490, 0.510, 0.250], [0.510, 0.490, 0.750], [0.903, 0.097, 0.000], [0.903, 0.097, 0.500]]}

***

We find two to be the most stable, with the next structure 0.074 eV/atom higher.